VASP calculation (PBE-GGA) on a geometry-optimized CsBPd3 structure.

The structure in extended XYZ format:
```
5
Lattice="-3.973 -1.422 -1.534 2.078 -3.059 -2.547 -0.239 -2.964 3.365" Properties=species:S:1:pos:R:3 pbc="T T T"
Cs -1.067 -3.722 -0.358
B 0.000 0.000 0.000
Pd 1.039 -1.529 -1.274
Pd -0.119 -1.482 1.682
Pd -1.987 -0.711 -0.767
```

Output
Polymorph energy (0 for the lowest one) = 0 meV/atom
Symmetry = Pm-3m